DFT (PBE) results for a relaxed Cd2RhSe crystal. Values from VASP.

The structure in Quantum ESPRESSO input format:
```
&SYSTEM
  ibrav = 0, nat = 4, ntyp = 3
/
ATOMIC_SPECIES
Cd 112.41 Cd.upf
Rh 102.91 Rh.upf
Se 78.96 Se.upf
CELL_PARAMETERS angstrom
1.7135 0.9893 8.0403
-1.7135 0.9893 8.0403
0.0000 -1.9786 8.0403
ATOMIC_POSITIONS angstrom
Cd 0.0000 0.0000 5.9554
Cd 0.0000 0.0000 18.1654
Rh 0.0000 0.0000 12.0604
Se 0.0000 0.0000 0.0000
```

Summary:
D(E_F)   0.3008 states/eV per atom
Calculated volume   81.8 Å³/cell
Total DFT energy (no corrections)   -3.086 eV/atom

=====

DFT (PBE) results for a relaxed CdRh2Se crystal. Values from VASP.

The structure in Quantum ESPRESSO input format:
```
&SYSTEM
  ibrav = 0, nat = 4, ntyp = 3
/
ATOMIC_SPECIES
Cd 112.41 Cd.upf
Rh 102.91 Rh.upf
Se 78.96 Se.upf
CELL_PARAMETERS angstrom
-1.9491 1.9491 4.4001
1.9491 -1.9491 4.4001
1.9491 1.9491 -4.4001
ATOMIC_POSITIONS angstrom
Cd 0.0000 0.0000 0.0000
Rh 1.9491 0.0000 2.2000
Rh 0.0000 0.0000 4.4001
Se 0.0000 1.9491 2.2000
```

Summary:
D(E_F)   1.2940 states/eV per atom
Calculated volume   66.9 Å³/cell
Total DFT energy (no corrections)   -4.614 eV/atom

=====

DFT (PBE) results for a relaxed Cd2RhSe crystal. Values from VASP.

The structure in Quantum ESPRESSO input format:
```
&SYSTEM
  ibrav = 0, nat = 4, ntyp = 3
/
ATOMIC_SPECIES
Cd 112.41 Cd.upf
Rh 102.91 Rh.upf
Se 78.96 Se.upf
CELL_PARAMETERS angstrom
3.1598 0.0000 0.0000
0.0000 5.0420 0.0000
-0.0204 0.0000 4.8107
ATOMIC_POSITIONS angstrom
Cd 0.7738 0.0000 1.1640
Cd 2.3655 0.0000 3.6467
Rh 1.5799 2.5210 0.0000
Se -0.0102 2.5210 2.4054
```

Summary:
D(E_F)   0.5716 states/eV per atom
Calculated volume   76.6 Å³/cell
Total DFT energy (no corrections)   -3.057 eV/atom

=====

DFT (PBE) results for a relaxed CdRh2Se crystal. Values from VASP.

The structure in Quantum ESPRESSO input format:
```
&SYSTEM
  ibrav = 0, nat = 4, ntyp = 3
/
ATOMIC_SPECIES
Cd 112.41 Cd.upf
Rh 102.91 Rh.upf
Se 78.96 Se.upf
CELL_PARAMETERS angstrom
4.5639 0.0000 0.0000
0.0000 4.5639 0.0000
0.0000 0.0000 3.1477
ATOMIC_POSITIONS angstrom
Cd 0.0000 0.0000 0.0000
Rh 0.0000 2.2820 1.5738
Rh 2.2820 0.0000 1.5738
Se 2.2820 2.2820 0.0000
```

Summary:
D(E_F)   1.0352 states/eV per atom
Calculated volume   65.6 Å³/cell
Total DFT energy (no corrections)   -4.757 eV/atom

=====

What did the third record say?
DFT (PBE) results for a relaxed Cd2RhSe crystal. Values from VASP.

The structure in Quantum ESPRESSO input format:
```
&SYSTEM
  ibrav = 0, nat = 4, ntyp = 3
/
ATOMIC_SPECIES
Cd 112.41 Cd.upf
Rh 102.91 Rh.upf
Se 78.96 Se.upf
CELL_PARAMETERS angstrom
3.1598 0.0000 0.0000
0.0000 5.0420 0.0000
-0.0204 0.0000 4.8107
ATOMIC_POSITIONS angstrom
Cd 0.7738 0.0000 1.1640
Cd 2.3655 0.0000 3.6467
Rh 1.5799 2.5210 0.0000
Se -0.0102 2.5210 2.4054
```

Summary:
D(E_F)   0.5716 states/eV per atom
Calculated volume   76.6 Å³/cell
Total DFT energy (no corrections)   -3.057 eV/atom